Entry 1:
Material: Ac2TmGaO6
Method: DFT, PBE-GGA
State: optimized geometry

Cell: 5.807 5.921 8.234 Å, 90.00 90.00 90.00°
Atoms (fractional coordinates):
Ac: 0.500 0.777 0.242
Ac: 0.000 0.223 0.742
Ac: 0.500 0.777 0.758
Ac: 0.000 0.223 0.258
Tm: 0.000 0.731 0.500
Tm: 0.500 0.269 0.000
Ga: 0.500 0.244 0.500
Ga: 0.000 0.756 0.000
O: 0.500 0.219 0.260
O: 0.500 0.219 0.740
O: 0.000 0.781 0.240
O: 0.000 0.781 0.760
O: 0.258 0.999 0.500
O: 0.742 0.999 0.500
O: 0.254 0.470 0.500
O: 0.746 0.470 0.500
O: 0.754 0.530 0.000
O: 0.246 0.530 0.000
O: 0.242 0.001 0.000
O: 0.758 0.001 0.000

Crystal system = orthorhombic
Raw formation energy = -2989 meV/atom

=====

Entry 2:
Material: Pm2HoZn2Sn2
Method: DFT, PBE-GGA
State: optimized geometry

Cell: 4.666 4.666 9.837 Å, 76.28 76.28 60.00°
Atoms (fractional coordinates):
Pm: 0.129 0.129 0.612
Pm: 0.871 0.871 0.388
Ho: 0.000 0.000 0.000
Zn: 0.586 0.586 0.241
Zn: 0.414 0.414 0.759
Sn: 0.729 0.729 0.813
Sn: 0.271 0.271 0.187

Crystal system = trigonal
Formation energy = -0.349 eV/atom

=====

Entry 3:
Material: Al2BH2
Method: DFT, PBE-GGA
State: optimized geometry

Cell: 5.353 5.353 3.105 Å, 90.00 90.00 90.00°
Atoms (fractional coordinates):
H: 0.445 0.945 0.000
H: 0.945 0.555 0.000
H: 0.555 0.055 0.000
H: 0.055 0.445 0.000
B: 0.000 0.000 0.000
B: 0.500 0.500 0.000
Al: 0.214 0.714 0.500
Al: 0.714 0.786 0.500
Al: 0.786 0.286 0.500
Al: 0.286 0.214 0.500

E_tot = -3.6139 eV/atom
Crystal system = tetragonal

=====

Entry 4:
Material: KSbPt2
Method: DFT, PBE-GGA
State: optimized geometry

Cell: 5.069 5.069 5.069 Å, 127.01 115.70 87.96°
Atoms (fractional coordinates):
K: 0.250 0.750 0.500
Pt: 0.954 0.954 0.000
Pt: 0.546 0.546 0.000
Sb: 0.750 0.250 0.500

Crystal system = orthorhombic
Raw formation energy = 138 meV/atom

=====

Calculated volume (Å³ per cell)
283.1; 178.4; 89.0; 89.0
Magnetic moment (μB per formula unit)
0.00; 0.00; 0.00; 0.00
DOS at the Fermi energy (states/eV/atom)
0.00; 0.96; 0.23; 0.66